SmScTl GGA-PBE relaxed; total moment = 0.5 μB/f.u.; polymorph energy (0 for the lowest one) = 260.4 meV per atom
1.0
0.7127 -1.7305 4.7104
-3.3113 -3.2553 2.0321
1.3319 -4.8326 0.7500
Sc Sm Tl
1 1 1
direct
0.2500 0.2500 0.2500
0.7500 0.7500 0.7500
0.0000 0.0000 0.0000

=====

TmAuNO GGA-PBE relaxed; total moment = 0.0 μB/f.u.; polymorph energy (0 for the lowest one) = 266.6 meV per atom
1.0
-0.4802 3.5265 -0.6703
-0.1679 1.0703 5.7515
6.0869 0.8332 0.0227
Au N O Tm
2 2 2 2
direct
0.5000 0.0019 0.2640
0.5000 0.5019 0.7360
0.0000 0.8693 0.3682
0.0000 0.3693 0.6318
0.5000 0.3851 0.1441
0.5000 0.8851 0.8559
0.0000 0.4977 0.2874
0.0000 0.9977 0.7126

=====

KInAgF6 GGA-PBE relaxed; raw total energy = -144.88 eV per cell
1.0
7.5169 0.0000 0.0000
0.0000 9.9202 0.0000
-0.1991 0.0000 6.7538
Ag F In K
4 24 4 4
direct
0.2494 0.7420 0.1562
0.7506 0.2420 0.3438
0.2494 0.7580 0.6562
0.7506 0.2580 0.8438
0.9715 0.8003 0.0960
0.7507 0.3618 0.1012
0.2524 0.0315 0.1192
0.5362 0.8085 0.1218
0.4342 0.5628 0.2196
0.0714 0.5497 0.2209
0.9286 0.0497 0.2791
0.5658 0.0628 0.2804
0.4638 0.3085 0.3782
0.7476 0.5315 0.3808
0.2493 0.8618 0.3988
0.0285 0.3003 0.4040
0.9715 0.6997 0.5960
0.7507 0.1382 0.6012
0.2524 0.4685 0.6192
0.5362 0.6915 0.6218
0.4342 0.9372 0.7196
0.0714 0.9503 0.7209
0.9286 0.4503 0.7791
0.5658 0.4372 0.7804
0.4638 0.1915 0.8782
0.7476 0.9685 0.8808
0.2493 0.6382 0.8988
0.0285 0.1997 0.9040
0.0000 0.0000 0.0000
0.5000 0.0000 0.0000
0.0000 0.5000 0.5000
0.5000 0.5000 0.5000
0.2578 0.3798 0.0126
0.7422 0.8798 0.4874
0.2578 0.1202 0.5126
0.7422 0.6202 0.9874

=====

ZrFeCoGe GGA-PBE relaxed; total moment = 1.0 μB/f.u.; polymorph energy (0 for the lowest one) = 0.0 meV per atom
1.0
3.0411 0.1573 2.9960
0.1728 3.3088 2.6964
-1.0229 -0.5401 4.1123
Co Fe Ge Zr
1 1 1 1
direct
0.7500 0.7500 0.7500
0.2500 0.2500 0.2500
0.0000 0.0000 0.0000
0.5000 0.5000 0.5000

=====

Number 1: density 7.2 g cm⁻³. Number 2: density 10.1 g cm⁻³. Number 3: density 5.0 g cm⁻³. Number 4: density 8.4 g cm⁻³.